The following is a PBEsol calculation of an optimized crystal structure of K4Nb8SiP4O34, from Alexandria via LeMat-Bulk.

Unit cell a=6.4615 b=10.6768 c=10.6768 alpha=90.00 beta=90.00 gamma=90.00
Element x y z (fractional)
K: 0.5000 0.5000 0.5000
K: 0.3003 0.0000 0.5000
K: 0.6997 0.5000 0.0000
K: 0.5000 0.0000 0.0000
Nb: 0.0000 0.1777 0.1777
Nb: 0.0000 0.8223 0.8223
Nb: 0.0000 0.8223 0.1777
Nb: 0.0000 0.1777 0.8223
Nb: 0.2006 0.5000 0.1863
Nb: 0.7994 0.8137 0.5000
Nb: 0.7994 0.1863 0.5000
Nb: 0.2006 0.5000 0.8137
Si: 0.0000 0.5000 0.5000
P: 0.5000 0.2398 0.2398
P: 0.5000 0.2398 0.7602
P: 0.5000 0.7602 0.7602
P: 0.5000 0.7602 0.2398
O: 0.3131 0.1589 0.1974
O: 0.3131 0.8411 0.8026
O: 0.6869 0.8026 0.1589
O: 0.6869 0.1974 0.8411
O: 0.3131 0.8411 0.1974
O: 0.6869 0.8026 0.8411
O: 0.6869 0.1974 0.1589
O: 0.3131 0.1589 0.8026
O: 0.0419 0.8262 0.0000
O: 0.9581 0.0000 0.8262
O: 0.9581 0.0000 0.1738
O: 0.0419 0.1738 0.0000
O: 0.1493 0.5000 0.3741
O: 0.8507 0.6259 0.5000
O: 0.8507 0.3741 0.5000
O: 0.1493 0.5000 0.6259
O: 0.4564 0.3784 0.2143
O: 0.2533 0.5000 0.0000
O: 0.7467 0.0000 0.5000
O: 0.0170 0.3631 0.8284
O: 0.9830 0.1716 0.3631
O: 0.9830 0.8284 0.6369
O: 0.0170 0.6369 0.1716
O: 0.9830 0.1716 0.6369
O: 0.9830 0.8284 0.3631
O: 0.0170 0.6369 0.8284
O: 0.0170 0.3631 0.1716
O: 0.4564 0.3784 0.7857
O: 0.5436 0.2143 0.3784
O: 0.5436 0.7857 0.6216
O: 0.4564 0.6216 0.2143
O: 0.5436 0.2143 0.6216
O: 0.5436 0.7857 0.3784
O: 0.4564 0.6216 0.7857

SG = P-4m2, No. 115
ΔE_f (raw) = -2.479 eV per atom